A plane-wave DFT calculation with GGA-PBEsol was carried out for BaMnRu2 after structural relaxation.

POSCAR file:
```
BaMnRu2
1.0
3.286 0.000 0.000
0.000 4.671 0.000
0.000 0.000 4.671
Ba Mn Ru
1 1 2
Cartesian
1.643 2.335 2.335
1.643 0.000 0.000
0.000 0.000 2.335
0.000 2.335 0.000
```

Calculated values
- DOS at the Fermi energy: 5.7 states/eV/f.u.
- M_tot: 4.227 μB/cell
- ΔE_f: 1181 meV/atom



A plane-wave DFT calculation with GGA-PBEsol was carried out for BaMn2Ru after structural relaxation.

POSCAR file:
```
BaMn2Ru
1.0
-1.306 -3.732 -1.212
2.668 -2.684 -1.668
1.619 -4.259 4.315
Ba Mn Ru
1 2 1
Cartesian
0.000 0.000 0.000
0.945 -3.033 1.264
2.036 -7.642 0.171
1.490 -5.337 0.718
```

Calculated values
- DOS at the Fermi energy: 5.7 states/eV/f.u.
- M_tot: 4.811 μB/cell
- ΔE_f: 564 meV/atom



A plane-wave DFT calculation with GGA-PBEsol was carried out for BaMn2Ru after structural relaxation.

POSCAR file:
```
BaMn2Ru
1.0
-0.583 2.968 0.670
-4.167 -0.652 -0.743
-0.526 -2.917 5.511
Ba Mn Ru
1 2 1
Cartesian
-2.347 -1.784 2.384
-0.889 -0.432 5.367
-0.220 0.483 0.813
-2.375 1.158 -0.037
```

Calculated values
- DOS at the Fermi energy: 4.8 states/eV/f.u.
- M_tot: 1.200 μB/cell
- ΔE_f: 866 meV/atom